Record 1
Computed, not measured: a relaxed structure of BaCo3 at the PBE level of DFT.

Values from the calculation:
**Energy of formation**: 0.394 eV per atom
**Total magnetic moment**: 9.79 μB/cell

Cell: 7.1897 7.1897 3.9420 Å, 90.00 90.00 120.00°
With the nearest neighbours (Å) after each atom.
Space group P6_3/mmc (No. 194)
One atom of each set of equivalent atoms:
Ba 0.3333 0.6667 0.2500  12 Co 3.41-3.66
Co 0.1096 0.2193 0.7500  6 Co 2.37-2.40

Record 2
Computed, not measured: a relaxed structure of BaCo at the PBE level of DFT.

Values from the calculation:
**Energy of formation**: 0.380 eV per atom
**Total magnetic moment**: 8.00 μB/cell

Cell: 12.3744 3.9729 7.8512 Å, 90.00 101.11 90.00°
With the nearest neighbours (Å) after each atom.
Space group Cm (No. 8)
One atom of each set of equivalent atoms:
Ba 0.0000 0.0000 0.0000  4 Co 3.27-3.30, 1 Ba 3.56
Ba 0.0742 0.0000 0.5833  1 Co 3.00
Ba 0.2908 0.0000 0.2828  5 Co 3.52-3.74, 2 Ba 3.85-3.90
Co 0.2296 0.5000 0.9027  3 Co 2.30-2.34
Co 0.2998 0.0000 0.8088  4 Co 2.33-2.34
Co 0.3038 0.5000 0.6559  3 Co 2.30-2.33

Record 3
Computed, not measured: a relaxed structure of BaCo5 at the PBE level of DFT.

Values from the calculation:
**Energy of formation**: 0.428 eV per atom
**Total magnetic moment**: 15.98 μB/cell

Cell: 3.6161 3.5946 15.9673 Å, 90.00 90.00 90.00°
With the nearest neighbours (Å) after each atom.
Space group Amm2 (No. 38)
One atom of each set of equivalent atoms:
Ba 0.0000 0.0000 0.0000  8 Co 3.24-3.44, 4 Ba 3.59-3.62
Co 0.0000 0.0000 0.3161  8 Co 2.40-2.55
Co 0.0000 0.0000 0.7153  10 Co 2.31-2.55
Co 0.5000 0.0000 0.2169  10 Co 2.32-2.55
Co 0.5000 0.0000 0.6253  4 Co 2.31-2.32
Co 0.5000 0.0000 0.8211  8 Co 2.45-2.55

Record 4
Computed, not measured: a relaxed structure of Ba2Co at the PBE level of DFT.

Values from the calculation:
**Energy of formation**: 0.437 eV per atom
**Total magnetic moment**: 1.54 μB/cell

Cell: 7.4014 7.4784 4.5426 Å, 90.00 90.00 90.00°
With the nearest neighbours (Å) after each atom.
Space group Pnnm (No. 58)
One atom of each set of equivalent atoms:
Ba 0.2226 0.1836 0.0000  3 Co 3.12-3.13
Co 0.0000 0.0000 0.5000  6 Ba 3.12-3.13

Record 5
Computed, not measured: a relaxed structure of BaCo at the PBE level of DFT.

Values from the calculation:
**Energy of formation**: 0.399 eV per atom
**Total magnetic moment**: 7.88 μB/cell

Cell: 12.0754 3.9795 9.0914 Å, 90.00 119.31 90.00°
With the nearest neighbours (Å) after each atom.
Space group Cm (No. 8)
One atom of each set of equivalent atoms:
Ba 0.0000 0.0000 0.0000  6 Co 3.34-3.58, 1 Ba 3.59
Ba 0.1292 0.5000 0.6969  3 Co 3.32-3.39
Ba 0.2689 0.0000 0.4173  2 Co 3.02-3.35
Co 0.2771 0.5000 0.1158  3 Co 2.28-2.35
Co 0.3957 0.0000 0.2012  4 Co 2.34-2.35
Co 0.4715 0.5000 0.3533  3 Co 2.28-2.34

Record 6
Computed, not measured: a relaxed structure of BaCo at the PBE level of DFT.

Values from the calculation:
**Energy of formation**: 1.316 eV per atom
**Total magnetic moment**: 5.97 μB/cell

Cell: 8.5579 8.5579 8.5579 Å, 90.00 90.00 90.00°
With the nearest neighbours (Å) after each atom.
Space group Pm-3n (No. 223)
One atom of each set of equivalent atoms:
Ba 0.0000 0.2500 0.5000  4 Co 3.03
Co 0.0000 0.5000 0.2500  4 Ba 3.03

Record 7
Computed, not measured: a relaxed structure of Ba2Co at the PBE level of DFT.

Values from the calculation:
**Energy of formation**: 0.434 eV per atom
**Total magnetic moment**: 0.58 μB/cell

Cell: 4.4545 4.4545 7.5193 Å, 90.00 90.00 120.00°
With the nearest neighbours (Å) after each atom.
Space group P-3m1 (No. 164)
One atom of each set of equivalent atoms:
Ba 0.3333 0.6667 0.2308  3 Co 3.10
Co 0.0000 0.0000 0.0000  6 Ba 3.10

Record 8
Computed, not measured: a relaxed structure of Ba5Co4 at the PBE level of DFT.

Values from the calculation:
**Energy above the most stable polymorph in this dataset**: 0 meV per atom
**Energy of formation**: 0.709 eV per atom
**Total magnetic moment**: 7.91 μB/cell

Cell: 9.4191 9.4191 7.5430 Å, 90.00 90.00 120.00°
With the nearest neighbours (Å) after each atom.
Space group P6_3/mcm (No. 193)
One atom of each set of equivalent atoms:
Ba 0.0000 0.2599 0.2500  5 Co 3.09-3.28
Ba 0.3333 0.6667 0.0000  6 Co 3.46, 2 Ba 3.77
Co 0.0000 0.0000 0.0000  6 Ba 3.09
Co 0.0000 0.3918 0.7500  7 Ba 3.25-3.46

Which formula does entry 7 have? Ba2Co